# 1
A plane-wave DFT calculation with GGA-PBE was carried out for Sr3EuP after structural relaxation.

Results
VASP energy = -22.85 eV/cell
total moment = 8.2 μB/cell
formation energy from the elements = -425 meV per atom

Cell lengths 6.0626, 6.0626, 6.0626 Å; angles 90.00, 90.00, 90.00 degrees
With the nearest neighbours (Å) after each atom.
Positions (direct):
Sr 0.0000 0.0000 0.5000  2 P 3.03
Sr 0.0000 0.5000 0.0000  2 P 3.03
Sr 0.5000 0.0000 0.0000  2 P 3.03
Eu 0.5000 0.5000 0.5000  12 Sr 4.29
P 0.0000 0.0000 0.0000  6 Sr 3.03

# 2
A plane-wave DFT calculation with GGA-PBE was carried out for SrEuP after structural relaxation.

Results
VASP energy = -19.50 eV/cell
total moment = 7.1 μB/cell
formation energy from the elements = -712 meV per atom

Cell lengths 7.5160, 7.5160, 7.5160 Å; angles 150.98, 150.98, 41.51 degrees
With the nearest neighbours (Å) after each atom.
Positions (direct):
Sr 0.0000 0.0000 0.0000  4 P 3.18, 1 Eu 3.21
Eu 0.2282 0.2282 0.0000  4 P 3.04, 1 Sr 3.21
P 0.6234 0.6234 0.0000  4 Eu 3.04, 4 Sr 3.18

# 3
A plane-wave DFT calculation with GGA-PBE was carried out for Sr2EuP after structural relaxation.

Results
VASP energy = -21.04 eV/cell
total moment = 8.2 μB/cell
formation energy from the elements = -498 meV per atom

Cell lengths 11.6120, 11.6120, 11.6120 Å; angles 21.53, 21.53, 21.53 degrees
With the nearest neighbours (Å) after each atom.
Positions (direct):
Sr 0.1196 0.1196 0.1196  3 P 2.97
Sr 0.8804 0.8804 0.8804  3 P 2.97
Eu 0.0000 0.0000 0.0000  2 Sr 4.07, 6 Eu 4.34
P 0.5000 0.5000 0.5000  6 Sr 2.97

# 4
A plane-wave DFT calculation with GGA-PBE was carried out for SrEuZnP after structural relaxation.

Results
VASP energy = -20.78 eV/cell
total moment = 7.3 μB/cell
formation energy from the elements = -536 meV per atom

Cell lengths 5.2678, 5.2678, 5.2678 Å; angles 60.00, 60.00, 60.00 degrees
With the nearest neighbours (Å) after each atom.
Positions (direct):
Sr 0.0000 0.0000 0.0000  4 Zn 3.23, 4 P 3.23
Eu 0.5000 0.5000 0.5000  4 Zn 3.23, 4 P 3.23
Zn 0.7500 0.7500 0.7500  4 Sr 3.23, 4 Eu 3.23
P 0.2500 0.2500 0.2500  4 Sr 3.23, 4 Eu 3.23

# 5
A plane-wave DFT calculation with GGA-PBE was carried out for TbEuP2 after structural relaxation.

Results
VASP energy = -31.02 eV/cell
total moment = 6.3 μB/cell
formation energy from the elements = -1325 meV per atom

Cell lengths 7.1212, 7.1212, 7.1212 Å; angles 33.38, 33.38, 33.38 degrees
With the nearest neighbours (Å) after each atom.
Positions (direct):
Tb 0.0000 0.0000 0.0000  6 P 2.86
Eu 0.5000 0.5000 0.5000  6 P 2.94
P 0.2532 0.2532 0.2532  3 Tb 2.86, 3 Eu 2.94
P 0.7468 0.7468 0.7468  3 Tb 2.86, 3 Eu 2.94

# 6
A plane-wave DFT calculation with GGA-PBE was carried out for EuTcP2 after structural relaxation.

Results
VASP energy = -34.33 eV/cell
total moment = 6.5 μB/cell
formation energy from the elements = -719 meV per atom

Cell lengths 5.4865, 5.4865, 5.4865 Å; angles 43.88, 43.88, 43.88 degrees
With the nearest neighbours (Å) after each atom.
Positions (direct):
Eu 0.0000 0.0000 0.0000  8 P 2.96-3.18
Tc 0.5000 0.5000 0.5000  6 P 2.47
P 0.2139 0.2139 0.2139  3 Tc 2.47, 3 P 2.75
P 0.7861 0.7861 0.7861  3 Tc 2.47, 3 P 2.75

# 7
A plane-wave DFT calculation with GGA-PBE was carried out for EuTe2P after structural relaxation.

Results
formation energy (no corrections) = -0.232 eV per formula unit
VASP energy = -22.20 eV/cell
total moment = 7.7 μB/cell

Cell lengths 9.6917, 9.6917, 9.6917 Å; angles 24.20, 24.20, 24.20 degrees
With the nearest neighbours (Å) after each atom.
Positions (direct):
Eu 0.0000 0.0000 0.0000  2 Te 3.17
Te 0.1123 0.1123 0.1123  3 P 2.80
Te 0.8877 0.8877 0.8877  3 P 2.80
P 0.5000 0.5000 0.5000  6 Te 2.80

# 8
A plane-wave DFT calculation with GGA-PBE was carried out for EuTh2P after structural relaxation.

Results
VASP energy = -32.16 eV/cell
total moment = 7.2 μB/cell
formation energy from the elements = -409 meV per atom

Cell lengths 10.7713, 10.7713, 10.7713 Å; angles 20.67, 20.67, 20.67 degrees
With the nearest neighbours (Å) after each atom.
Positions (direct):
Eu 0.0000 0.0000 0.0000  2 Th 3.57, 6 Eu 3.86
Th 0.1128 0.1128 0.1128  3 P 2.81
Th 0.8872 0.8872 0.8872  3 P 2.81
P 0.5000 0.5000 0.5000  6 Th 2.81